A plane-wave DFT calculation with GGA-PBE was carried out for crystalline TaIn2 at its relaxed geometry.

* formation energy: 0.7337 eV per atom
* symmetry: Fd-3m (227)
* spin magnetization: 0.000 Bohr magnetons per cell

Cell and atoms, written as extended XYZ:
```
6
Lattice="0.0000 3.9836 3.9836 3.9836 0.0000 3.9836 3.9836 3.9836 0.0000" Properties=species:S:1:pos:R:3 pbc="T T T"
Ta 3.9836 3.9836 3.9836
Ta 5.9755 5.9755 5.9755
In 0.9959 2.9877 2.9877
In 2.9877 0.9959 2.9877
In 2.9877 2.9877 0.9959
In 0.9959 0.9959 0.9959
```